(1)
This record from the Alexandria database describes a geometry-optimized CaYMo2 structure. The functional is PBE.

Its total energy is -6.779 eV/atom. The total magnetization comes out at 0.0 μB per cell.

Geometry as extended XYZ:
```
8
Lattice="4.098 0.000 0.000 0.000 4.098 0.000 0.000 0.000 9.992" Properties=species:S:1:pos:R:3 pbc="T T T"
Ca 0.000 0.000 0.000
Ca 2.049 2.049 4.996
Y 0.000 0.000 4.996
Y 2.049 2.049 0.000
Mo 0.000 2.049 2.498
Mo 0.000 2.049 7.494
Mo 2.049 0.000 2.498
Mo 2.049 0.000 7.494
```

=====

(2)
This record from the Alexandria database describes a geometry-optimized CaY3Mo structure. The functional is PBE.

Its total energy is -4.666 eV/atom. The total magnetization comes out at 0.0 μB per cell.

Geometry as extended XYZ:
```
5
Lattice="5.287 0.000 0.000 0.000 5.287 0.000 0.000 0.000 5.287" Properties=species:S:1:pos:R:3 pbc="T T T"
Ca 0.000 0.000 0.000
Y 0.000 0.000 2.644
Y 0.000 2.644 0.000
Y 2.644 0.000 0.000
Mo 2.644 2.644 2.644
```

=====

(3)
This record from the Alexandria database describes a geometry-optimized CaYMo2 structure. The functional is PBE.

Its total energy is -6.712 eV/atom. The total magnetization comes out at 0.0 μB per cell.

Geometry as extended XYZ:
```
8
Lattice="10.167 0.000 0.000 0.000 2.855 0.000 -0.223 0.000 6.133" Properties=species:S:1:pos:R:3 pbc="T T T"
Ca 0.000 0.000 0.000
Ca 5.083 1.427 0.000
Y -0.111 1.427 3.067
Y 4.972 0.000 3.067
Mo 2.354 0.000 4.318
Mo 2.507 1.427 1.815
Mo 7.437 1.427 4.318
Mo 7.590 0.000 1.815
```

=====

(4)
This record from the Alexandria database describes a geometry-optimized CaYMo structure. The functional is PBE.

Its total energy is -5.421 eV/atom. The total magnetization comes out at 10.7 μB per cell.

Geometry as extended XYZ:
```
12
Lattice="7.192 0.000 0.000 0.000 7.192 0.000 0.000 0.000 7.192" Properties=species:S:1:pos:R:3 pbc="T T T"
Ca 0.000 0.000 0.000
Ca 0.000 3.596 3.596
Ca 3.596 0.000 3.596
Ca 3.596 3.596 0.000
Y 0.000 0.000 3.596
Y 0.000 3.596 0.000
Y 3.596 0.000 0.000
Y 3.596 3.596 3.596
Mo 1.798 1.798 1.798
Mo 1.798 5.394 5.394
Mo 5.394 1.798 5.394
Mo 5.394 5.394 1.798
```

=====

Number 1: DOS at the Fermi energy 4.13 states/eV/f.u.. Number 2: DOS at the Fermi energy 10.25 states/eV/f.u.. Number 3: DOS at the Fermi energy 3.17 states/eV/f.u.. Number 4: DOS at the Fermi energy 4.38 states/eV/f.u..